No. 1
# Np2Ni3Ge4Os PBE relaxed
# Density of states at the Fermi level ... 24.079 states/eV per cell
# Calculated total energy ... -7.59 eV/atom
# Crystal system ... tetragonal
data_Np2Ni3Ge4Os
_cell_length_a 4.1187
_cell_length_b 4.1187
_cell_length_c 9.7635
_cell_angle_alpha 90.00
_cell_angle_beta 90.00
_cell_angle_gamma 90.00
_space_group_name_H-M_alt 'P -4 m 2'
_space_group_IT_number 115
loop_
_space_group_symop_operation_xyz
'x,y,z'
'y,-x,-z'
'-x,-y,z'
'-y,x,-z'
'-x,y,z'
'-y,-x,-z'
'x,-y,z'
'y,x,-z'
loop_
_atom_site_label
_atom_site_type_symbol
_atom_site_fract_x
_atom_site_fract_y
_atom_site_fract_z
Np1 Np 0.0000 0.5000 0.2473
Ni1 Ni 0.0000 0.5000 0.8778
Ni2 Ni 0.5000 0.5000 0.5000
Ge1 Ge 0.0000 0.0000 0.0000
Ge2 Ge 0.0000 0.5000 0.6397
Ge3 Ge 0.5000 0.5000 0.0000
Os1 Os 0.0000 0.0000 0.5000



No. 2
# AlAu2Se PBE relaxed
# Density of states at the Fermi level ... 1.145 states/eV per cell
# Energy relative to the elements, uncorrected ... 0.04 eV per atom
# Calculated total energy ... -3.41 eV/atom
# Crystal system ... tetragonal
data_AlAu2Se
_cell_length_a 3.8399
_cell_length_b 3.8399
_cell_length_c 5.3063
_cell_angle_alpha 90.00
_cell_angle_beta 90.00
_cell_angle_gamma 90.00
_space_group_name_H-M_alt 'P 4/m m m'
_space_group_IT_number 123
_space_group_name_Hall '-P 4 2'
loop_
_atom_site_label
_atom_site_type_symbol
_atom_site_fract_x
_atom_site_fract_y
_atom_site_fract_z
Al1 Al 0.0000 0.0000 0.0000
Au1 Au 0.0000 0.5000 0.5000
Se1 Se 0.5000 0.5000 0.0000



No. 3
# MgZn2Si PBE relaxed
# Density of states at the Fermi level ... 6.433 states/eV per cell
# Energy relative to the elements, uncorrected ... 0.16 eV per atom
# Calculated total energy ... -2.24 eV/atom
# Crystal system ... cubic
# Excess energy over the best structure of this formula in the dataset ... 93 meV/atom
data_MgZn2Si
_cell_length_a 6.4808
_cell_length_b 6.4808
_cell_length_c 6.4808
_cell_angle_alpha 90.00
_cell_angle_beta 90.00
_cell_angle_gamma 90.00
_space_group_name_H-M_alt 'F -4 3 m'
_space_group_IT_number 216
_space_group_name_Hall 'F -4 2 3'
loop_
_atom_site_label
_atom_site_type_symbol
_atom_site_fract_x
_atom_site_fract_y
_atom_site_fract_z
Mg1 Mg 0.0000 0.0000 0.0000
Zn1 Zn 0.0000 0.0000 0.5000
Zn2 Zn 0.2500 0.2500 0.2500
Si1 Si 0.2500 0.2500 0.7500



No. 4
# Be3Os5 PBE relaxed
# Density of states at the Fermi level ... 26.015 states/eV per cell
# Calculated total energy ... -8.39 eV/atom
# Crystal system ... monoclinic
# Excess energy over the best structure of this formula in the dataset ... 0 meV/atom
data_Be3Os5
_cell_length_a 4.7592
_cell_length_b 12.7288
_cell_length_c 6.7771
_cell_angle_alpha 90.00
_cell_angle_beta 110.36
_cell_angle_gamma 90.00
_space_group_name_H-M_alt 'C 1 2/m 1'
_space_group_IT_number 12
loop_
_space_group_symop_operation_xyz
'x,y,z'
'-x,-y,-z'
'-x,y,-z'
'x,-y,z'
'x+1/2,y+1/2,z'
'-x+1/2,-y+1/2,-z'
'-x+1/2,y+1/2,-z'
'x+1/2,-y+1/2,z'
loop_
_atom_site_label
_atom_site_type_symbol
_atom_site_fract_x
_atom_site_fract_y
_atom_site_fract_z
Be1 Be 0.0000 0.1740 0.0000
Be2 Be 0.0000 0.2509 0.5000
Be3 Be 0.1779 0.5000 0.3473
Os1 Os 0.1036 0.3250 0.2062
Os2 Os 0.1695 0.1024 0.3485
Os3 Os 0.2469 0.5000 0.9940



No. 5
# AgBTe2 PBE relaxed
# Density of states at the Fermi level ... 0.000 states/eV per cell
# Energy relative to the elements, uncorrected ... 0.47 eV per atom
# Calculated total energy ... -3.48 eV/atom
# Crystal system ... trigonal
data_AgBTe2
_cell_length_a 4.7272
_cell_length_b 4.7272
_cell_length_c 20.5505
_cell_angle_alpha 90.00
_cell_angle_beta 90.00
_cell_angle_gamma 120.00
_space_group_name_H-M_alt 'R -3 m'
_space_group_IT_number 166
_space_group_name_Hall '-R 3 2"'
loop_
_atom_site_label
_atom_site_type_symbol
_atom_site_fract_x
_atom_site_fract_y
_atom_site_fract_z
Ag1 Ag 0.0000 0.0000 0.0000
B1 B 0.0000 0.0000 0.5000
Te1 Te 0.0000 0.0000 0.4007



No. 6
# ReBiTePd2 PBE relaxed
# Density of states at the Fermi level ... 3.444 states/eV per cell
# Energy relative to the elements, uncorrected ... 1.65 eV per atom
# Calculated total energy ... -4.32 eV/atom
# Crystal system ... tetragonal
data_ReBiTePd2
_cell_length_a 5.0020
_cell_length_b 5.0020
_cell_length_c 6.0593
_cell_angle_alpha 90.00
_cell_angle_beta 90.00
_cell_angle_gamma 90.00
_space_group_name_H-M_alt 'P 4/m m m'
_space_group_IT_number 123
_space_group_name_Hall '-P 4 2'
loop_
_atom_site_label
_atom_site_type_symbol
_atom_site_fract_x
_atom_site_fract_y
_atom_site_fract_z
Re1 Re 0.0000 0.0000 0.0000
Bi1 Bi 0.5000 0.5000 0.5000
Te1 Te 0.5000 0.5000 0.0000
Pd1 Pd 0.0000 0.5000 0.5000